Record 1
This record from Alexandria describes a geometry-optimized La5Sn3 structure. The functional is GGA-PBEsol.

Computed properties:
- M_tot (μB/f.u.) = 0.0
- E_form (eV/atom) = -0.72
- energy above the most stable polymorph in this dataset (eV per atom) = 0.000

Cell lengths 9.448, 9.448, 9.448 Å; angles 96.17, 96.17, 141.73 degrees
Atoms (fractional coordinates):
La  0.087  0.780  0.867
La  0.220  0.087  0.307
La  0.250  0.750  0.500
La  0.280  0.587  0.867
La  0.413  0.280  0.693
La  0.587  0.720  0.307
La  0.720  0.413  0.133
La  0.750  0.250  0.500
La  0.780  0.913  0.693
La  0.913  0.220  0.133
Sn  0.160  0.340  0.500
Sn  0.250  0.250  0.000
Sn  0.340  0.840  0.180
Sn  0.660  0.160  0.820
Sn  0.750  0.750  0.000
Sn  0.840  0.660  0.500



Record 2
This record from Alexandria describes a geometry-optimized BaZnReC2 structure. The functional is GGA-PBEsol.

Computed properties:
- M_tot (μB/f.u.) = 1.1
- E_form (eV/atom) = 2.48

Cell lengths 4.217, 4.217, 4.837 Å; angles 90.00, 90.00, 90.00 degrees
Atoms (fractional coordinates):
Ba  0.000  0.000  0.000
Zn  0.500  0.500  0.500
Re  0.500  0.500  0.000
C  0.000  0.500  0.500
C  0.500  0.000  0.500



Record 3
This record from Alexandria describes a geometry-optimized BaTlPb structure. The functional is GGA-PBEsol.

Computed properties:
- M_tot (μB/f.u.) = 0.0
- E_form (eV/atom) = -0.29

Cell lengths 5.479, 5.479, 5.479 Å; angles 60.00, 60.00, 60.00 degrees
Atoms (fractional coordinates):
Ba  0.000  0.000  0.000
Tl  0.500  0.500  0.500
Pb  0.250  0.250  0.250



Record 4
This record from Alexandria describes a geometry-optimized CsNbSe2 structure. The functional is GGA-PBEsol.

Computed properties:
- M_tot (μB/f.u.) = 2.0
- uncorrected formation energy (eV per atom) = 0.007

Cell lengths 5.104, 5.104, 5.104 Å; angles 60.00, 60.00, 60.00 degrees
Atoms (fractional coordinates):
Cs  0.000  0.000  0.000
Nb  0.500  0.500  0.500
Se  0.250  0.250  0.250
Se  0.750  0.750  0.750



Record 5
This record from Alexandria describes a geometry-optimized ScZn2Os structure. The functional is GGA-PBEsol.

Computed properties:
- M_tot (μB/f.u.) = 0.0
- E_form (eV/atom) = -0.15
- energy above the most stable polymorph in this dataset (eV per atom) = 0.131

Cell lengths 3.796, 3.796, 4.147 Å; angles 90.00, 90.00, 90.00 degrees
Atoms (fractional coordinates):
Sc  0.000  0.000  0.000
Zn  0.000  0.500  0.500
Zn  0.500  0.000  0.500
Os  0.500  0.500  0.000



Record 6
This record from Alexandria describes a geometry-optimized Ti3V2Si3 structure. The functional is GGA-PBEsol.

Computed properties:
- M_tot (μB/f.u.) = 0.0
- uncorrected formation energy (eV per atom) = -0.809

Cell lengths 7.269, 7.269, 4.886 Å; angles 90.00, 90.00, 120.00 degrees
Atoms (fractional coordinates):
Ti  0.000  0.245  0.250
Ti  0.000  0.755  0.750
Ti  0.245  0.000  0.250
Ti  0.245  0.245  0.750
Ti  0.755  0.000  0.750
Ti  0.755  0.755  0.250
V  0.333  0.667  0.000
V  0.333  0.667  0.500
V  0.667  0.333  0.000
V  0.667  0.333  0.500
Si  0.000  0.400  0.750
Si  0.000  0.600  0.250
Si  0.400  0.000  0.750
Si  0.400  0.400  0.250
Si  0.600  0.000  0.250
Si  0.600  0.600  0.750